1.
## FePCl2 (PBE)

Data for FePCl2 after structural relaxation.

Output
Formation energy (no corrections) (meV/atom): 395
E above lowest polymorph (eV per formula unit): 3.474

```
data_FePCl2
_chemical_formula_sum 'Fe1 P1 Cl2'
_cell_length_a 5.0675
_cell_length_b 4.8336
_cell_length_c 4.4572
_cell_angle_alpha 65.96
_cell_angle_beta 60.59
_cell_angle_gamma 53.45
_symmetry_space_group_name_H-M 'P 1'
_symmetry_Int_Tables_number 1
loop_
_symmetry_equiv_pos_as_xyz
'x,y,z'
loop_
_atom_site_label
_atom_site_type_symbol
_atom_site_fract_x
_atom_site_fract_y
_atom_site_fract_z
Fe1 Fe 0.0000 0.0000 0.0000
P1 P 0.5000 0.5000 0.5000
Cl1 Cl 0.0000 0.5000 0.5000
Cl2 Cl 0.5000 0.0000 0.0000
```



2.
## FeP2Cl (PBE)

Data for FeP2Cl after structural relaxation.

Output
Formation energy (no corrections) (meV/atom): 106
E above lowest polymorph (eV per formula unit): 1.277

```
data_FeP2Cl
_chemical_formula_sum 'Fe1 P2 Cl1'
_cell_length_a 2.8374
_cell_length_b 2.8374
_cell_length_c 8.2163
_cell_angle_alpha 90.00
_cell_angle_beta 90.00
_cell_angle_gamma 90.00
_symmetry_space_group_name_H-M 'P 1'
_symmetry_Int_Tables_number 1
loop_
_symmetry_equiv_pos_as_xyz
'x,y,z'
loop_
_atom_site_label
_atom_site_type_symbol
_atom_site_fract_x
_atom_site_fract_y
_atom_site_fract_z
Fe1 Fe 0.0000 0.0000 0.0000
P1 P 0.5000 0.5000 0.1562
P2 P 0.5000 0.5000 0.8438
Cl1 Cl 0.0000 0.0000 0.5000
```



3.
## FePCl2 (PBE)

Data for FePCl2 after structural relaxation.

Output
Formation energy (no corrections) (meV/atom): -278
E above lowest polymorph (eV per formula unit): 0.780

```
data_FePCl2
_chemical_formula_sum 'Fe1 P1 Cl2'
_cell_length_a 3.2887
_cell_length_b 3.2887
_cell_length_c 8.0534
_cell_angle_alpha 90.00
_cell_angle_beta 90.00
_cell_angle_gamma 90.00
_symmetry_space_group_name_H-M 'P 1'
_symmetry_Int_Tables_number 1
loop_
_symmetry_equiv_pos_as_xyz
'x,y,z'
loop_
_atom_site_label
_atom_site_type_symbol
_atom_site_fract_x
_atom_site_fract_y
_atom_site_fract_z
Fe1 Fe 0.0000 0.0000 0.0000
P1 P 0.5000 0.5000 0.9150
Cl1 Cl 0.0000 0.0000 0.2667
Cl2 Cl 0.5000 0.5000 0.6607
```



4.
## FePCl6 (PBE)

Data for FePCl6 after structural relaxation.

Output
Formation energy (no corrections) (meV/atom): -514

```
data_FePCl6
_chemical_formula_sum 'Fe2 P2 Cl12'
_cell_length_a 6.0407
_cell_length_b 6.0407
_cell_length_c 12.8614
_cell_angle_alpha 90.00
_cell_angle_beta 90.00
_cell_angle_gamma 120.00
_symmetry_space_group_name_H-M 'P 1'
_symmetry_Int_Tables_number 1
loop_
_symmetry_equiv_pos_as_xyz
'x,y,z'
loop_
_atom_site_label
_atom_site_type_symbol
_atom_site_fract_x
_atom_site_fract_y
_atom_site_fract_z
Fe1 Fe 0.0000 0.0000 0.2500
Fe2 Fe 0.0000 0.0000 0.7500
P1 P 0.3333 0.6667 0.2500
P2 P 0.6667 0.3333 0.7500
Cl1 Cl 0.0207 0.3183 0.1485
Cl2 Cl 0.0207 0.7024 0.3515
Cl3 Cl 0.2977 0.3183 0.3515
Cl4 Cl 0.2977 0.9793 0.1485
Cl5 Cl 0.3183 0.0207 0.6485
Cl6 Cl 0.3183 0.2977 0.8515
Cl7 Cl 0.6817 0.7024 0.1485
Cl8 Cl 0.6817 0.9793 0.3515
Cl9 Cl 0.7024 0.0207 0.8515
Cl10 Cl 0.7024 0.6817 0.6485
Cl11 Cl 0.9793 0.2977 0.6485
Cl12 Cl 0.9793 0.6817 0.8515
```



5.
## FePCl2 (PBE)

Data for FePCl2 after structural relaxation.

Output
Formation energy (no corrections) (meV/atom): 150
E above lowest polymorph (eV per formula unit): 2.494

```
data_FePCl2
_chemical_formula_sum 'Fe1 P1 Cl2'
_cell_length_a 8.3629
_cell_length_b 8.3629
_cell_length_c 8.3629
_cell_angle_alpha 22.61
_cell_angle_beta 22.61
_cell_angle_gamma 22.61
_symmetry_space_group_name_H-M 'P 1'
_symmetry_Int_Tables_number 1
loop_
_symmetry_equiv_pos_as_xyz
'x,y,z'
loop_
_atom_site_label
_atom_site_type_symbol
_atom_site_fract_x
_atom_site_fract_y
_atom_site_fract_z
Fe1 Fe 0.0000 0.0000 0.0000
P1 P 0.5000 0.5000 0.5000
Cl1 Cl 0.3969 0.3969 0.3969
Cl2 Cl 0.6031 0.6031 0.6031
```



6.
## FeP2Cl (PBE)

Data for FeP2Cl after structural relaxation.

Output
Formation energy (no corrections) (meV/atom): 82
E above lowest polymorph (eV per formula unit): 1.179

```
data_FeP2Cl
_chemical_formula_sum 'Fe1 P2 Cl1'
_cell_length_a 6.8531
_cell_length_b 6.8531
_cell_length_c 6.8531
_cell_angle_alpha 28.41
_cell_angle_beta 28.41
_cell_angle_gamma 28.41
_symmetry_space_group_name_H-M 'P 1'
_symmetry_Int_Tables_number 1
loop_
_symmetry_equiv_pos_as_xyz
'x,y,z'
loop_
_atom_site_label
_atom_site_type_symbol
_atom_site_fract_x
_atom_site_fract_y
_atom_site_fract_z
Fe1 Fe 0.0000 0.0000 0.0000
P1 P 0.2770 0.2770 0.2770
P2 P 0.7230 0.7230 0.7230
Cl1 Cl 0.5000 0.5000 0.5000
```



7.
## FeP2Cl (PBE)

Data for FeP2Cl after structural relaxation.

Output
Formation energy (no corrections) (meV/atom): 411
E above lowest polymorph (eV per formula unit): 2.497

```
data_FeP2Cl
_chemical_formula_sum 'Fe1 P2 Cl1'
_cell_length_a 6.7053
_cell_length_b 6.7053
_cell_length_c 6.7053
_cell_angle_alpha 151.08
_cell_angle_beta 151.08
_cell_angle_gamma 41.36
_symmetry_space_group_name_H-M 'P 1'
_symmetry_Int_Tables_number 1
loop_
_symmetry_equiv_pos_as_xyz
'x,y,z'
loop_
_atom_site_label
_atom_site_type_symbol
_atom_site_fract_x
_atom_site_fract_y
_atom_site_fract_z
Fe1 Fe 0.0000 0.0000 0.0000
P1 P 0.2500 0.7500 0.5000
P2 P 0.7500 0.2500 0.5000
Cl1 Cl 0.5000 0.5000 0.0000
```



8.
## FePCl2 (PBE)

Data for FePCl2 after structural relaxation.

Output
Formation energy (no corrections) (meV/atom): -112
E above lowest polymorph (eV per formula unit): 1.447

```
data_FePCl2
_chemical_formula_sum 'Fe1 P1 Cl2'
_cell_length_a 7.1591
_cell_length_b 7.1591
_cell_length_c 7.1591
_cell_angle_alpha 154.05
_cell_angle_beta 140.48
_cell_angle_gamma 47.89
_symmetry_space_group_name_H-M 'P 1'
_symmetry_Int_Tables_number 1
loop_
_symmetry_equiv_pos_as_xyz
'x,y,z'
loop_
_atom_site_label
_atom_site_type_symbol
_atom_site_fract_x
_atom_site_fract_y
_atom_site_fract_z
Fe1 Fe 0.0000 0.0000 0.0000
P1 P 0.1262 0.6262 0.5000
Cl1 Cl 0.5804 0.5804 0.0000
Cl2 Cl 0.8732 0.3732 0.5000
```



9.
## FePPbCl2 (PBE)

Data for FePPbCl2 after structural relaxation.

Output
Formation energy (no corrections) (meV/atom): -121
E above lowest polymorph (eV per formula unit): 0.000

```
data_FePPbCl2
_chemical_formula_sum 'Fe1 P1 Pb1 Cl2'
_cell_length_a 4.7580
_cell_length_b 4.7580
_cell_length_c 4.8120
_cell_angle_alpha 90.00
_cell_angle_beta 90.00
_cell_angle_gamma 90.00
_symmetry_space_group_name_H-M 'P 1'
_symmetry_Int_Tables_number 1
loop_
_symmetry_equiv_pos_as_xyz
'x,y,z'
loop_
_atom_site_label
_atom_site_type_symbol
_atom_site_fract_x
_atom_site_fract_y
_atom_site_fract_z
Fe1 Fe 0.0000 0.0000 0.0000
P1 P 0.0000 0.0000 0.5000
Pb1 Pb 0.5000 0.5000 0.5000
Cl1 Cl 0.0000 0.5000 0.0000
Cl2 Cl 0.5000 0.0000 0.0000
```



10.
## FePPbCl2 (PBE)

Data for FePPbCl2 after structural relaxation.

Output
Formation energy (no corrections) (meV/atom): 821
E above lowest polymorph (eV per formula unit): 4.708

```
data_FePPbCl2
_chemical_formula_sum 'Fe1 P1 Pb1 Cl2'
_cell_length_a 5.7876
_cell_length_b 5.7876
_cell_length_c 6.1649
_cell_angle_alpha 90.00
_cell_angle_beta 90.00
_cell_angle_gamma 90.00
_symmetry_space_group_name_H-M 'P 1'
_symmetry_Int_Tables_number 1
loop_
_symmetry_equiv_pos_as_xyz
'x,y,z'
loop_
_atom_site_label
_atom_site_type_symbol
_atom_site_fract_x
_atom_site_fract_y
_atom_site_fract_z
Fe1 Fe 0.0000 0.0000 0.0000
P1 P 0.5000 0.5000 0.0000
Pb1 Pb 0.5000 0.5000 0.5000
Cl1 Cl 0.0000 0.5000 0.5000
Cl2 Cl 0.5000 0.0000 0.5000
```



11.
## FeP2PdCl (PBE)

Data for FeP2PdCl after structural relaxation.

Output
Formation energy (no corrections) (meV/atom): 900
E above lowest polymorph (eV per formula unit): 2.315

```
data_FeP2PdCl
_chemical_formula_sum 'Fe1 P2 Pd1 Cl1'
_cell_length_a 4.6404
_cell_length_b 4.6404
_cell_length_c 4.8937
_cell_angle_alpha 90.00
_cell_angle_beta 90.00
_cell_angle_gamma 90.00
_symmetry_space_group_name_H-M 'P 1'
_symmetry_Int_Tables_number 1
loop_
_symmetry_equiv_pos_as_xyz
'x,y,z'
loop_
_atom_site_label
_atom_site_type_symbol
_atom_site_fract_x
_atom_site_fract_y
_atom_site_fract_z
Fe1 Fe 0.0000 0.0000 0.0000
P1 P 0.0000 0.5000 0.5000
P2 P 0.5000 0.0000 0.5000
Pd1 Pd 0.5000 0.5000 0.5000
Cl1 Cl 0.5000 0.5000 0.0000
```



12.
## FeP2PdCl (PBE)

Data for FeP2PdCl after structural relaxation.

Output
Formation energy (no corrections) (meV/atom): 438
E above lowest polymorph (eV per formula unit): 0.000

```
data_FeP2PdCl
_chemical_formula_sum 'Fe1 P2 Pd1 Cl1'
_cell_length_a 4.2344
_cell_length_b 4.2344
_cell_length_c 4.9059
_cell_angle_alpha 90.00
_cell_angle_beta 90.00
_cell_angle_gamma 90.00
_symmetry_space_group_name_H-M 'P 1'
_symmetry_Int_Tables_number 1
loop_
_symmetry_equiv_pos_as_xyz
'x,y,z'
loop_
_atom_site_label
_atom_site_type_symbol
_atom_site_fract_x
_atom_site_fract_y
_atom_site_fract_z
Fe1 Fe 0.0000 0.0000 0.0000
P1 P 0.0000 0.5000 0.0000
P2 P 0.5000 0.0000 0.0000
Pd1 Pd 0.5000 0.5000 0.5000
Cl1 Cl 0.0000 0.0000 0.5000
```



13.
## Rb2FePCl6 (PBE)

Data for Rb2FePCl6 after structural relaxation.

Output
Formation energy (no corrections) (meV/atom): -956

```
data_Rb2FePCl6
_chemical_formula_sum 'Rb2 Fe1 P1 Cl6'
_cell_length_a 6.9895
_cell_length_b 6.9895
_cell_length_c 6.9895
_cell_angle_alpha 115.04
_cell_angle_beta 115.04
_cell_angle_gamma 98.84
_symmetry_space_group_name_H-M 'P 1'
_symmetry_Int_Tables_number 1
loop_
_symmetry_equiv_pos_as_xyz
'x,y,z'
loop_
_atom_site_label
_atom_site_type_symbol
_atom_site_fract_x
_atom_site_fract_y
_atom_site_fract_z
Rb1 Rb 0.2500 0.7500 0.5000
Rb2 Rb 0.7500 0.2500 0.5000
Fe1 Fe 0.0000 0.0000 0.0000
P1 P 0.5000 0.5000 0.0000
Cl1 Cl 0.2347 0.2347 0.4694
Cl2 Cl 0.2347 0.7653 0.0000
Cl3 Cl 0.2523 0.2523 0.0000
Cl4 Cl 0.7477 0.7477 0.0000
Cl5 Cl 0.7653 0.2347 0.0000
Cl6 Cl 0.7653 0.7653 0.5306
```



14.
## RbFePCl2 (PBE)

Data for RbFePCl2 after structural relaxation.

Output
Formation energy (no corrections) (meV/atom): -555
E above lowest polymorph (eV per formula unit): 0.000

```
data_RbFePCl2
_chemical_formula_sum 'Rb1 Fe1 P1 Cl2'
_cell_length_a 5.2644
_cell_length_b 5.2644
_cell_length_c 4.3337
_cell_angle_alpha 90.00
_cell_angle_beta 90.00
_cell_angle_gamma 90.00
_symmetry_space_group_name_H-M 'P 1'
_symmetry_Int_Tables_number 1
loop_
_symmetry_equiv_pos_as_xyz
'x,y,z'
loop_
_atom_site_label
_atom_site_type_symbol
_atom_site_fract_x
_atom_site_fract_y
_atom_site_fract_z
Rb1 Rb 0.0000 0.0000 0.0000
Fe1 Fe 0.5000 0.5000 0.5000
P1 P 0.5000 0.5000 0.0000
Cl1 Cl 0.0000 0.5000 0.5000
Cl2 Cl 0.5000 0.0000 0.5000
```



15.
## RbFeP2Cl (PBE)

Data for RbFeP2Cl after structural relaxation.

Output
Formation energy (no corrections) (meV/atom): -284
E above lowest polymorph (eV per formula unit): 0.000

```
data_RbFeP2Cl
_chemical_formula_sum 'Rb1 Fe1 P2 Cl1'
_cell_length_a 4.3111
_cell_length_b 4.3111
_cell_length_c 6.9263
_cell_angle_alpha 90.00
_cell_angle_beta 90.00
_cell_angle_gamma 90.00
_symmetry_space_group_name_H-M 'P 1'
_symmetry_Int_Tables_number 1
loop_
_symmetry_equiv_pos_as_xyz
'x,y,z'
loop_
_atom_site_label
_atom_site_type_symbol
_atom_site_fract_x
_atom_site_fract_y
_atom_site_fract_z
Rb1 Rb 0.0000 0.0000 0.0000
Fe1 Fe 0.5000 0.5000 0.5000
P1 P 0.0000 0.5000 0.5000
P2 P 0.5000 0.0000 0.5000
Cl1 Cl 0.5000 0.5000 0.0000
```



16.
## RbFeP2Cl (PBE)

Data for RbFeP2Cl after structural relaxation.

Output
Formation energy (no corrections) (meV/atom): 1831
E above lowest polymorph (eV per formula unit): 10.576

```
data_RbFeP2Cl
_chemical_formula_sum 'Rb1 Fe1 P2 Cl1'
_cell_length_a 5.5806
_cell_length_b 5.5806
_cell_length_c 5.6172
_cell_angle_alpha 90.00
_cell_angle_beta 90.00
_cell_angle_gamma 90.00
_symmetry_space_group_name_H-M 'P 1'
_symmetry_Int_Tables_number 1
loop_
_symmetry_equiv_pos_as_xyz
'x,y,z'
loop_
_atom_site_label
_atom_site_type_symbol
_atom_site_fract_x
_atom_site_fract_y
_atom_site_fract_z
Rb1 Rb 0.0000 0.0000 0.0000
Fe1 Fe 0.5000 0.5000 0.5000
P1 P 0.0000 0.5000 0.0000
P2 P 0.5000 0.0000 0.0000
Cl1 Cl 0.0000 0.0000 0.5000
```



17.
## RbFePCl2 (PBE)

Data for RbFePCl2 after structural relaxation.

Output
Formation energy (no corrections) (meV/atom): 924
E above lowest polymorph (eV per formula unit): 7.396

```
data_RbFePCl2
_chemical_formula_sum 'Rb1 Fe1 P1 Cl2'
_cell_length_a 6.0868
_cell_length_b 6.0868
_cell_length_c 6.1726
_cell_angle_alpha 90.00
_cell_angle_beta 90.00
_cell_angle_gamma 90.00
_symmetry_space_group_name_H-M 'P 1'
_symmetry_Int_Tables_number 1
loop_
_symmetry_equiv_pos_as_xyz
'x,y,z'
loop_
_atom_site_label
_atom_site_type_symbol
_atom_site_fract_x
_atom_site_fract_y
_atom_site_fract_z
Rb1 Rb 0.0000 0.0000 0.0000
Fe1 Fe 0.5000 0.5000 0.5000
P1 P 0.0000 0.0000 0.5000
Cl1 Cl 0.0000 0.5000 0.0000
Cl2 Cl 0.5000 0.0000 0.0000
```



18.
## FeRePCl2 (PBE)

Data for FeRePCl2 after structural relaxation.

Output
Formation energy (no corrections) (meV/atom): 851
E above lowest polymorph (eV per formula unit): 0.000

```
data_FeRePCl2
_chemical_formula_sum 'Fe1 Re1 P1 Cl2'
_cell_length_a 4.8757
_cell_length_b 4.8757
_cell_length_c 4.6334
_cell_angle_alpha 90.00
_cell_angle_beta 90.00
_cell_angle_gamma 90.00
_symmetry_space_group_name_H-M 'P 1'
_symmetry_Int_Tables_number 1
loop_
_symmetry_equiv_pos_as_xyz
'x,y,z'
loop_
_atom_site_label
_atom_site_type_symbol
_atom_site_fract_x
_atom_site_fract_y
_atom_site_fract_z
Fe1 Fe 0.0000 0.0000 0.0000
Re1 Re 0.5000 0.5000 0.5000
P1 P 0.5000 0.5000 0.0000
Cl1 Cl 0.0000 0.5000 0.5000
Cl2 Cl 0.5000 0.0000 0.5000
```



19.
## FeRePCl2 (PBE)

Data for FeRePCl2 after structural relaxation.

Output
Formation energy (no corrections) (meV/atom): 1046
E above lowest polymorph (eV per formula unit): 0.971

```
data_FeRePCl2
_chemical_formula_sum 'Fe1 Re1 P1 Cl2'
_cell_length_a 4.3373
_cell_length_b 4.3373
_cell_length_c 5.3299
_cell_angle_alpha 90.00
_cell_angle_beta 90.00
_cell_angle_gamma 90.00
_symmetry_space_group_name_H-M 'P 1'
_symmetry_Int_Tables_number 1
loop_
_symmetry_equiv_pos_as_xyz
'x,y,z'
loop_
_atom_site_label
_atom_site_type_symbol
_atom_site_fract_x
_atom_site_fract_y
_atom_site_fract_z
Fe1 Fe 0.0000 0.0000 0.0000
Re1 Re 0.5000 0.5000 0.5000
P1 P 0.0000 0.0000 0.5000
Cl1 Cl 0.0000 0.5000 0.0000
Cl2 Cl 0.5000 0.0000 0.0000
```



20.
## FeP2RhCl (PBE)

Data for FeP2RhCl after structural relaxation.

Output
Formation energy (no corrections) (meV/atom): 621
E above lowest polymorph (eV per formula unit): 0.000

```
data_FeP2RhCl
_chemical_formula_sum 'Fe1 P2 Rh1 Cl1'
_cell_length_a 4.2184
_cell_length_b 4.2184
_cell_length_c 4.7138
_cell_angle_alpha 90.00
_cell_angle_beta 90.00
_cell_angle_gamma 90.00
_symmetry_space_group_name_H-M 'P 1'
_symmetry_Int_Tables_number 1
loop_
_symmetry_equiv_pos_as_xyz
'x,y,z'
loop_
_atom_site_label
_atom_site_type_symbol
_atom_site_fract_x
_atom_site_fract_y
_atom_site_fract_z
Fe1 Fe 0.0000 0.0000 0.0000
P1 P 0.0000 0.5000 0.0000
P2 P 0.5000 0.0000 0.0000
Rh1 Rh 0.5000 0.5000 0.5000
Cl1 Cl 0.0000 0.0000 0.5000
```